Computed, not measured: a relaxed structure of MnBiSeO2 at the PBE with a Hubbard U level of DFT.

Summary:
As for the crystal system: orthorhombic. The total energy comes out at -5.961 eV per atom. The calculated volume is 17.95 Å³/atom. Its symmetry is Cmcm (63).

Cell: 6.5728 6.5728 5.4655 Å, 90.00 90.00 130.51°
Closest atoms and distances in Å follow each position.
Fractional coordinates of all 10 atoms:
1 Mn 0.0195 0.9805 0.7500  4 O 1.92
2 Mn 0.9805 0.0195 0.2500  4 O 1.92
3 Bi 0.3668 0.6332 0.7500  4 O 2.53
4 Bi 0.6332 0.3668 0.2500  4 O 2.53
5 Se 0.2455 0.7545 0.2500  4 Bi 3.06-3.09, 1 Mn 3.16
6 Se 0.7545 0.2455 0.7500  4 Bi 3.06-3.09, 1 Mn 3.16
7 O 0.2414 0.2414 0.0000  2 Mn 1.92
8 O 0.2414 0.2414 0.5000  2 Mn 1.92
9 O 0.7586 0.7586 0.0000  2 Mn 1.92
10 O 0.7586 0.7586 0.5000  2 Mn 1.92